Record 1
Below is a relaxed Ba3AgN crystal, with properties calculated at the GGA-PBE level.

```
data_Ba3AgN
_cell_length_a 13.058
_cell_length_b 7.539
_cell_length_c 8.518
_cell_angle_alpha 90.00
_cell_angle_beta 120.48
_cell_angle_gamma 90.00
_space_group_name_H-M_alt 'C 1 2/m 1'
_space_group_IT_number 12
loop_
_space_group_symop_operation_xyz
'x,y,z'
'-x,-y,-z'
'-x,y,-z'
'x,-y,z'
'x+1/2,y+1/2,z'
'-x+1/2,-y+1/2,-z'
'-x+1/2,y+1/2,-z'
'x+1/2,-y+1/2,z'
loop_
_atom_site_label
_atom_site_fract_x
_atom_site_fract_y
_atom_site_fract_z
_atom_site_occupancy
Ba1 0.080 0.000 0.234 1
Ba2 0.173 0.253 0.766 1
Ag1 0.117 0.500 0.350 1
N1 0.166 0.000 0.998 1
```

Results
E_tot = -3.572 eV per atom
Spin magnetization = 0.62 μB/cell
Excess energy over the best structure of this formula in the dataset = 109.7 meV per atom
Formation energy from raw total energies = -0.18 eV per atom

***

Record 2
Below is a relaxed Mn2CdIr crystal, with properties calculated at the GGA-PBE level.

```
data_Mn2CdIr
_cell_length_a 3.967
_cell_length_b 3.967
_cell_length_c 8.012
_cell_angle_alpha 90.00
_cell_angle_beta 90.00
_cell_angle_gamma 90.00
_space_group_name_H-M_alt 'I -4 m 2'
_space_group_IT_number 119
_space_group_name_Hall 'I -4 -2'
loop_
_atom_site_label
_atom_site_fract_x
_atom_site_fract_y
_atom_site_fract_z
_atom_site_occupancy
Mn1 0.000 0.000 0.000 1
Mn2 0.000 0.500 0.250 1
Cd1 0.000 0.500 0.750 1
Ir1 0.000 0.000 0.500 1
```

Results
E_tot = -6.843 eV per atom
Spin magnetization = 15.69 μB/cell
Energy of formation from the pure elements = 0.19 eV per atom